{
  "formula": "NdDy2In",
  "functional": "GGA-PBE",
  "state": "relaxed",
  "lattice": [[3.6142, 0.0000, 0.0000], [0.0000, 3.6142, 0.0000], [0.0000, 0.0000, 9.2493]],
  "species": ["Nd", "Dy", "Dy", "In"],
  "fractional_positions": [[0.0000, 0.0000, 0.0000], [0.5000, 0.5000, 0.2780], [0.5000, 0.5000, 0.7220], [0.0000, 0.0000, 0.5000]],
  "ef_ev_per_atom": -0.24,
  "space_group": "P4/mmm",
  "magnetic_moment_mub_per_cell": 0.00
}

***

{
  "formula": "ZrTa2IrN",
  "functional": "GGA-PBE",
  "state": "relaxed",
  "lattice": [[4.1867, 0.0000, 0.0000], [0.0000, 4.1867, 0.0000], [0.0000, 0.0000, 4.4792]],
  "species": ["Zr", "Ta", "Ta", "Ir", "N"],
  "fractional_positions": [[0.0000, 0.0000, 0.0000], [0.0000, 0.5000, 0.5000], [0.5000, 0.0000, 0.5000], [0.5000, 0.5000, 0.0000], [0.0000, 0.0000, 0.5000]],
  "formation_energy_uncorrected_mev_per_atom": -730,
  "space_group": "P4/mmm",
  "magnetic_moment_mub_per_cell": 0.00
}

***

{
  "formula": "Zr2TaW",
  "functional": "GGA-PBE",
  "state": "relaxed",
  "lattice": [[2.9470, 0.0000, 0.0000], [0.0000, 4.8302, 0.0000], [-1.0647, 0.0000, 5.4666]],
  "species": ["Zr", "Zr", "Ta", "W"],
  "fractional_positions": [[0.2130, 0.0000, 0.2558], [0.7870, 0.0000, 0.7442], [0.5000, 0.5000, 0.0000], [0.0000, 0.5000, 0.5000]],
  "ef_ev_per_atom": 0.17,
  "space_group": "P2/m",
  "magnetic_moment_mub_per_cell": 0.00
}

***

{
  "formula": "LaZn4Cu2Ni",
  "functional": "GGA-PBE",
  "state": "relaxed",
  "lattice": [[2.0899, 1.2066, 8.8411], [-2.0899, 1.2066, 8.8411], [0.0000, -2.4132, 8.8411]],
  "species": ["La", "Zn", "Zn", "Zn", "Zn", "Cu", "Cu", "Ni"],
  "fractional_positions": [[0.0000, 0.0000, 0.0000], [0.1346, 0.1346, 0.1346], [0.4082, 0.4082, 0.4082], [0.5918, 0.5918, 0.5918], [0.8654, 0.8654, 0.8654], [0.2328, 0.2328, 0.2328], [0.7672, 0.7672, 0.7672], [0.5000, 0.5000, 0.5000]],
  "ef_ev_per_atom": -0.19,
  "space_group": "R-3m",
  "magnetic_moment_mub_per_cell": 0.00
}

***

{
  "formula": "Sn3PIr",
  "functional": "GGA-PBE",
  "state": "relaxed",
  "lattice": [[4.9951, 0.0000, 0.0000], [0.0000, 4.9951, 0.0000], [0.0000, 0.0000, 4.9951]],
  "species": ["Sn", "Sn", "Sn", "P", "Ir"],
  "fractional_positions": [[0.0000, 0.0000, 0.5000], [0.0000, 0.5000, 0.0000], [0.5000, 0.0000, 0.0000], [0.0000, 0.0000, 0.0000], [0.5000, 0.5000, 0.5000]],
  "ef_ev_per_atom": 0.99,
  "space_group": "Pm-3m",
  "magnetic_moment_mub_per_cell": 0.00
}

***

{
  "formula": "PuBeRu",
  "functional": "GGA-PBE",
  "state": "relaxed",
  "lattice": [[3.9877, 0.0000, 0.0000], [-1.9939, 3.4535, 0.0000], [0.0000, 0.0000, 3.7107]],
  "species": ["Pu", "Be", "Ru"],
  "fractional_positions": [[0.0000, 0.0000, 0.0000], [0.3333, 0.6667, 0.5000], [0.6667, 0.3333, 0.5000]],
  "ef_ev_per_atom": -0.06,
  "space_group": "P-6m2",
  "magnetic_moment_mub_per_cell": 4.79
}

***

{
  "formula": "Cs2TlGaAs2",
  "functional": "GGA-PBE",
  "state": "relaxed",
  "lattice": [[-3.7876, 8.1622, 3.4479], [3.7876, -8.1622, 3.4479], [3.7876, 8.1622, -3.4479]],
  "species": ["Cs", "Cs", "Cs", "Cs", "Tl", "Tl", "Ga", "Ga", "As", "As", "As", "As"],
  "fractional_positions": [[0.1704, 0.2466, 0.4170], [0.3296, 0.7466, 0.0762], [0.6704, 0.2534, 0.9238], [0.8296, 0.7534, 0.5830], [0.2500, 0.2500, 0.0000], [0.7500, 0.7500, 0.0000], [0.2500, 0.7500, 0.5000], [0.7500, 0.2500, 0.5000], [0.0851, 0.6822, 0.7673], [0.4149, 0.1822, 0.5971], [0.5851, 0.8178, 0.4029], [0.9149, 0.3178, 0.2327]],
  "ef_ev_per_atom": -0.35,
  "space_group": "Ibam",
  "magnetic_moment_mub_per_cell": 0.00
}

***

{
  "formula": "RbCd2SiIr",
  "functional": "GGA-PBE",
  "state": "relaxed",
  "lattice": [[5.3737, 0.0000, 0.0000], [0.0000, 5.3737, 0.0000], [0.0000, 0.0000, 4.5976]],
  "species": ["Rb", "Cd", "Cd", "Si", "Ir"],
  "fractional_positions": [[0.0000, 0.0000, 0.0000], [0.0000, 0.5000, 0.5000], [0.5000, 0.0000, 0.5000], [0.5000, 0.5000, 0.0000], [0.5000, 0.5000, 0.5000]],
  "formation_energy_uncorrected_mev_per_atom": -152,
  "space_group": "P4/mmm",
  "magnetic_moment_mub_per_cell": 0.00
}

***

{
  "formula": "Yb2ZnSe4",
  "functional": "GGA-PBE",
  "state": "relaxed",
  "lattice": [[0.0000, 5.7355, 5.7355], [5.7355, 0.0000, 5.7355], [5.7355, 5.7355, 0.0000]],
  "species": ["Yb", "Yb", "Yb", "Yb", "Zn", "Zn", "Se", "Se", "Se", "Se", "Se", "Se", "Se", "Se"],
  "fractional_positions": [[0.0000, 0.0000, 0.0000], [0.0000, 0.0000, 0.5000], [0.0000, 0.5000, 0.0000], [0.5000, 0.0000, 0.0000], [0.3750, 0.3750, 0.3750], [0.6250, 0.6250, 0.6250], [0.2485, 0.7505, 0.7505], [0.2495, 0.2495, 0.2495], [0.2495, 0.2495, 0.7515], [0.2495, 0.7515, 0.2495], [0.7505, 0.2485, 0.7505], [0.7505, 0.7505, 0.2485], [0.7505, 0.7505, 0.7505], [0.7515, 0.2495, 0.2495]],
  "formation_energy_uncorrected_mev_per_atom": -1221,
  "space_group": "Fd-3m",
  "magnetic_moment_mub_per_cell": 1.37
}

***

{
  "formula": "La2CrFe",
  "functional": "GGA-PBE",
  "state": "relaxed",
  "lattice": [[0.0000, 3.5678, 3.5678], [3.5678, 0.0000, 3.5678], [3.5678, 3.5678, 0.0000]],
  "species": ["La", "La", "Cr", "Fe"],
  "fractional_positions": [[0.0000, 0.0000, 0.0000], [0.2500, 0.2500, 0.2500], [0.7500, 0.7500, 0.7500], [0.5000, 0.5000, 0.5000]],
  "ef_ev_per_atom": 0.55,
  "space_group": "F-43m",
  "magnetic_moment_mub_per_cell": 2.23
}

***

{
  "formula": "La4YSb",
  "functional": "GGA-PBE",
  "state": "relaxed",
  "lattice": [[0.0000, 4.6580, 4.6580], [4.6580, 0.0000, 4.6580], [4.6580, 4.6580, 0.0000]],
  "species": ["La", "La", "La", "La", "Y", "Sb"],
  "fractional_positions": [[0.3768, 0.3768, 0.3768], [0.3768, 0.3768, 0.8697], [0.3768, 0.8697, 0.3768], [0.8697, 0.3768, 0.3768], [0.7500, 0.7500, 0.7500], [0.0000, 0.0000, 0.0000]],
  "formation_energy_uncorrected_mev_per_atom": 75,
  "space_group": "F-43m",
  "magnetic_moment_mub_per_cell": 0.01
}

***

{
  "formula": "BeZnPb4",
  "functional": "GGA-PBE",
  "state": "relaxed",
  "lattice": [[0.0000, 4.5339, 4.5339], [4.5339, 0.0000, 4.5339], [4.5339, 4.5339, 0.0000]],
  "species": ["Be", "Zn", "Pb", "Pb", "Pb", "Pb"],
  "fractional_positions": [[0.0000, 0.0000, 0.0000], [0.2500, 0.2500, 0.2500], [0.1244, 0.6252, 0.6252], [0.6252, 0.1244, 0.6252], [0.6252, 0.6252, 0.1244], [0.6252, 0.6252, 0.6252]],
  "ef_ev_per_atom": 0.73,
  "space_group": "F-43m",
  "magnetic_moment_mub_per_cell": 0.00
}